The following is a DFT calculation (PBE-GGA) of an optimized crystal structure of AgRh3.

formation energy from the elements	81	kJ/mol of formula units

a = 2.7551 Å, b = 3.8495 Å, c = 5.6709 Å
α = 90.00°, β = 90.00°, γ = 90.00°
With the nearest neighbours (Å) after each atom.
Fractional positions:
Ag: 0.0000 0.0000 0.0000  2 Ag 2.76, 10 Rh 2.81-2.84
Rh: 0.5000 0.5000 0.2658  7 Rh 2.66-2.76, 4 Ag 2.81
Rh: 0.0000 0.0000 0.5000  10 Rh 2.71-2.76, 2 Ag 2.84
Rh: 0.5000 0.5000 0.7342  7 Rh 2.66-2.76, 4 Ag 2.81

---

The following is a DFT calculation (PBE-GGA) of an optimized crystal structure of Ag2Rh.

E above lowest polymorph	278	meV/atom
formation energy from the elements	132	kJ/mol of formula units

a = 2.7077 Å, b = 4.1914 Å, c = 19.4879 Å
α = 90.00°, β = 90.00°, γ = 90.00°
With the nearest neighbours (Å) after each atom.
Fractional positions:
Rh: 0.0000 0.2500 0.6125  2 Rh 2.71, 8 Ag 2.84-2.88
Rh: 0.0000 0.7500 0.3875  2 Rh 2.71, 8 Ag 2.84-2.88
Rh: 0.5000 0.2500 0.8875  2 Rh 2.71, 8 Ag 2.84-2.88
Rh: 0.5000 0.7500 0.1125  2 Rh 2.71, 8 Ag 2.84-2.88
Ag: 0.0000 0.2500 0.0430  5 Ag 2.68-2.79, 4 Rh 2.84
Ag: 0.0000 0.2500 0.1864  5 Ag 2.71-2.82, 4 Rh 2.88
Ag: 0.0000 0.7500 0.8136  5 Ag 2.71-2.82, 4 Rh 2.88
Ag: 0.0000 0.7500 0.9570  5 Ag 2.68-2.79, 4 Rh 2.84
Ag: 0.5000 0.2500 0.3136  5 Ag 2.71-2.82, 4 Rh 2.88
Ag: 0.5000 0.2500 0.4570  5 Ag 2.68-2.79, 4 Rh 2.84
Ag: 0.5000 0.7500 0.5430  5 Ag 2.68-2.79, 4 Rh 2.84
Ag: 0.5000 0.7500 0.6864  5 Ag 2.71-2.82, 4 Rh 2.88

---

The following is a DFT calculation (PBE-GGA) of an optimized crystal structure of Ag3Rh4.

formation energy from the elements	110	kJ/mol of formula units

a = 14.3779 Å, b = 14.3779 Å, c = 14.3779 Å
α = 168.90°, β = 168.90°, γ = 15.72°
With the nearest neighbours (Å) after each atom.
Fractional positions:
Ag: 0.0000 0.0000 0.0000  4 Ag 2.78, 8 Rh 2.90
Ag: 0.2888 0.2888 0.0000  8 Ag 2.78-2.96, 4 Rh 2.90
Ag: 0.7112 0.7112 0.0000  8 Ag 2.78-2.96, 4 Rh 2.90
Rh: 0.1365 0.1365 0.0000  8 Rh 2.63-2.78, 4 Ag 2.90
Rh: 0.4250 0.4250 0.0000  8 Rh 2.63-2.78, 4 Ag 2.90
Rh: 0.5750 0.5750 0.0000  8 Rh 2.63-2.78, 4 Ag 2.90
Rh: 0.8635 0.8635 0.0000  8 Rh 2.63-2.78, 4 Ag 2.90

---

The following is a DFT calculation (PBE-GGA) of an optimized crystal structure of Ag2Rh.

E above lowest polymorph	89	meV/atom
formation energy from the elements	77	kJ/mol of formula units

a = 4.9782 Å, b = 4.9782 Å, c = 4.9782 Å
α = 147.73°, β = 130.44°, γ = 60.38°
With the nearest neighbours (Å) after each atom.
Fractional positions:
Ag: 0.3354 0.3354 0.0000  7 Ag 2.77-2.90, 5 Rh 2.88-2.89
Ag: 0.6646 0.6646 0.0000  7 Ag 2.77-2.90, 5 Rh 2.88-2.89
Rh: 0.0000 0.0000 0.0000  2 Rh 2.77, 10 Ag 2.88-2.89

---

The following is a DFT calculation (PBE-GGA) of an optimized crystal structure of AgRh3.

formation energy from the elements	57	kJ/mol of formula units

a = 2.7554 Å, b = 2.7554 Å, c = 7.9388 Å
α = 90.00°, β = 90.00°, γ = 90.00°
With the nearest neighbours (Å) after each atom.
Fractional positions:
Ag: 0.0000 0.0000 0.0000  4 Ag 2.76, 8 Rh 2.89
Rh: 0.0000 0.0000 0.5000  12 Rh 2.68-2.76
Rh: 0.5000 0.5000 0.2685  8 Rh 2.68-2.76, 4 Ag 2.89
Rh: 0.5000 0.5000 0.7315  8 Rh 2.68-2.76, 4 Ag 2.89

---

The following is a DFT calculation (PBE-GGA) of an optimized crystal structure of AgRh3.

formation energy from the elements	60	kJ/mol of formula units

a = 2.7500 Å, b = 2.7500 Å, c = 9.1940 Å
α = 90.00°, β = 90.00°, γ = 120.00°
With the nearest neighbours (Å) after each atom.
Fractional positions:
Ag: 0.0000 0.0000 0.0000  6 Ag 2.75, 6 Rh 2.89
Rh: 0.0000 0.0000 0.5000  12 Rh 2.69-2.75
Rh: 0.3333 0.6667 0.2632  9 Rh 2.69-2.75, 3 Ag 2.89
Rh: 0.3333 0.6667 0.7368  9 Rh 2.69-2.75, 3 Ag 2.89

---

Number 1: mass density 11.50 g/cm3. Number 2: mass density 9.57 g/cm3. Number 3: mass density 11.09 g/cm3. Number 4: mass density 10.65 g/cm3. Number 5: mass density 11.48 g/cm3. Number 6: mass density 11.49 g/cm3.